Entry 1:
First-principles (PBE-GGA) data for a relaxed structure of CuAg, as listed in OQMD.

Output
The density comes out at 9.510 g/cm³. Its formation energy is 71 meV/atom. The total energy comes out at -76.79 eV per cell.

abc: 8.891 3.793 11.356
angles: 90.00 110.30 90.00
Space group C2/m (No. 12)
Symmetry-distinct sites (fractional):
Cu 0.020 0.000 0.396
Cu 0.164 0.500 0.534
Cu 0.187 0.500 0.321
Ag 0.014 0.000 0.147
Ag 0.149 0.500 0.762
Ag 0.170 0.500 0.048

Entry 2:
First-principles (PBE-GGA) data for a relaxed structure of Cu3Ag7, as listed in OQMD.

Output
The density comes out at 9.642 g/cm³. Its formation energy is 73 meV/atom. The total energy comes out at -30.19 eV per cell.

abc: 2.882 3.935 14.363
angles: 90.00 90.00 90.00
Space group Pmm2 (No. 25)
Symmetry-distinct sites (fractional):
Cu 0.000 0.000 0.000
Cu 0.000 0.000 0.402
Cu 0.500 0.500 0.492
Ag 0.000 0.000 0.203
Ag 0.000 0.000 0.584
Ag 0.000 0.000 0.798
Ag 0.500 0.500 0.096
Ag 0.500 0.500 0.310
Ag 0.500 0.500 0.691
Ag 0.500 0.500 0.904

Entry 3:
First-principles (PBE-GGA) data for a relaxed structure of Cu3Ag5, as listed in OQMD.

Output
The density comes out at 9.620 g/cm³. Its formation energy is 75 meV/atom. The total energy comes out at -74.01 eV per cell.

abc: 2.8380 2.8380 54.1959
angles: 90.00 90.00 120.00
Space group R-3m (No. 166, hexagonal axes)
Symmetry-distinct sites (fractional):
Cu 0.0000 0.0000 0.0000
Cu 0.0000 0.0000 0.3690
Ag 0.0000 0.0000 0.1216
Ag 0.0000 0.0000 0.2571
Ag 0.0000 0.0000 0.5000

Entry 4:
First-principles (PBE-GGA) data for a relaxed structure of Cu3Ag2, as listed in OQMD.

Output
The density comes out at 9.424 g/cm³. Its formation energy is 102 meV/atom. The total energy comes out at -65.16 eV per cell.

abc: 4.691 13.705 4.692
angles: 90.00 108.29 90.00
Space group C2/c (No. 15)
Symmetry-distinct sites (fractional):
Cu 0.000 0.048 0.250
Cu 0.000 0.144 0.750
Cu 0.000 0.351 0.750
Ag 0.000 0.243 0.250
Ag 0.000 0.448 0.250

Entry 5:
First-principles (PBE-GGA) data for a relaxed structure of Cu2Ag5, as listed in OQMD.

Output
The density comes out at 9.756 g/cm³. Its formation energy is 58 meV/atom. The total energy comes out at -42.30 eV per cell.

abc: 2.880 2.880 27.341
angles: 90.00 90.00 90.00
Space group I4/mmm (No. 139)
Symmetry-distinct sites (fractional):
Cu 0.000 0.000 0.067
Ag 0.000 0.000 0.212
Ag 0.000 0.000 0.367
Ag 0.000 0.000 0.500

Entry 6:
First-principles (PBE-GGA) data for a relaxed structure of Cu5Ag3, as listed in OQMD.

Output
The density comes out at 9.398 g/cm³. Its formation energy is 100 meV/atom. The total energy comes out at -52.51 eV per cell.

abc: 2.781 14.721 5.537
angles: 90.00 90.00 90.00
Space group Amm2 (No. 38)
Symmetry-distinct sites (fractional):
Cu 0.000 0.000 0.000
Cu 0.000 0.247 0.489
Cu 0.500 0.135 0.233
Ag 0.000 0.000 0.463
Ag 0.500 0.127 0.750